Computed, not measured: a relaxed structure of Ac3CrBr2O6 at the PBE+U level of DFT.

```
12
Lattice="-3.199 3.270 4.136 -0.593 -5.801 4.127 4.688 4.900 1.379" Properties=species:S:1:pos:R:3 pbc="T T T"
Ac -0.297 -2.900 2.063
Ac 0.448 1.185 4.821
Ac 0.745 4.085 2.758
Cr -1.599 1.635 2.068
Br 1.493 -1.626 4.112
Br -0.596 3.995 5.530
O -1.855 1.092 4.225
O 2.751 1.277 5.417
O 0.682 0.584 7.102
O 0.214 1.786 2.541
O 3.061 4.304 3.264
O -2.164 -1.935 6.378
```

Values from the calculation:
Space-group type: No. 12
Final energy: -6.428 eV/atom
Total moment: 0.0808 μB/atom
Density of states at the Fermi level: 4.32 states/eV/f.u.